(1)
Compound: Mg3TiPt
Source: Alexandria
Functional: PBE-GGA
Structure: relaxed

**Energy of formation**: 1.30 eV/atom
**Excess energy over the best structure of this formula in the dataset**: 5.46 eV per formula unit
**E_tot**: -12.2 eV per cell
**Fermi-level density of states**: 6.75 states/eV per cell

Structure (CIF):
```
data_Mg3TiPt
_chemical_formula_sum 'Mg3 Ti1 Pt1'
_space_group_name_H-M_alt 'P m -3 m'
_space_group_IT_number 221
_space_group_name_Hall '-P 4 2 3'
_cell_length_a 5.0687
_cell_length_b 5.0687
_cell_length_c 5.0687
_cell_angle_alpha 90.00
_cell_angle_beta 90.00
_cell_angle_gamma 90.00
loop_
_atom_site_label
_atom_site_type_symbol
_atom_site_fract_x
_atom_site_fract_y
_atom_site_fract_z
Mg1 Mg 0.0000 0.0000 0.5000
Ti1 Ti 0.0000 0.0000 0.0000
Pt1 Pt 0.5000 0.5000 0.5000
```

(2)
Compound: CaSmTl
Source: Alexandria
Functional: PBE-GGA
Structure: relaxed

**Energy of formation**: -0.36 eV/atom
**Excess energy over the best structure of this formula in the dataset**: 0.00 eV per formula unit
**E_tot**: -20.3 eV per cell
**Fermi-level density of states**: 1.89 states/eV per cell

Structure (CIF):
```
data_CaSmTl
_chemical_formula_sum 'Ca2 Sm2 Tl2'
_space_group_name_H-M_alt 'P 63/m m c'
_space_group_IT_number 194
_space_group_name_Hall '-P 6c 2c'
_cell_length_a 5.4866
_cell_length_b 5.4866
_cell_length_c 6.9782
_cell_angle_alpha 90.00
_cell_angle_beta 90.00
_cell_angle_gamma 120.00
loop_
_atom_site_label
_atom_site_type_symbol
_atom_site_fract_x
_atom_site_fract_y
_atom_site_fract_z
Ca1 Ca 0.0000 0.0000 0.0000
Sm1 Sm 0.3333 0.6667 0.2500
Tl1 Tl 0.3333 0.6667 0.7500
```

(3)
Compound: TlSi2Ru2
Source: Alexandria
Functional: PBE-GGA
Structure: relaxed

**Excess energy over the best structure of this formula in the dataset**: 0.00 eV per formula unit
**E_tot**: -66.3 eV per cell
**Raw formation energy**: -0.280 eV/atom
**Fermi-level density of states**: 4.29 states/eV per cell

Structure (CIF):
```
data_TlSi2Ru2
_chemical_formula_sum 'Tl2 Si4 Ru4'
_space_group_name_H-M_alt 'I 4/m m m'
_space_group_IT_number 139
_space_group_name_Hall '-I 4 2'
_cell_length_a 3.6182
_cell_length_b 3.6182
_cell_length_c 12.2607
_cell_angle_alpha 90.00
_cell_angle_beta 90.00
_cell_angle_gamma 90.00
loop_
_atom_site_label
_atom_site_type_symbol
_atom_site_fract_x
_atom_site_fract_y
_atom_site_fract_z
Tl1 Tl 0.0000 0.0000 0.0000
Si1 Si 0.0000 0.5000 0.2500
Ru1 Ru 0.0000 0.0000 0.3796
```